1.
A plane-wave DFT calculation with PBE-GGA was carried out for crystalline TlMo2As at its relaxed geometry.

```
TlMo2As
1.0
3.543 0.256 2.922
-0.487 2.183 4.020
-0.077 -2.398 3.925
Tl As Mo
1 1 2
Direct
0.500 0.500 0.500 Tl
0.000 0.000 0.000 As
0.250 0.250 0.250 Mo
0.750 0.750 0.750 Mo
```

Output
ΔE to the lowest computed polymorph = 1.64 eV/f.u.
total magnetic moment = 0.000 μB per atom
total energy = -26.2 eV for the cell shown



2.
A plane-wave DFT calculation with PBE-GGA was carried out for crystalline TlMoAs2 at its relaxed geometry.

```
TlMoAs2
1.0
6.294 0.001 0.003
-2.436 4.193 -0.009
1.422 1.220 2.949
As Mo Tl
2 1 1
Direct
0.000 0.000 0.000 As
0.500 0.000 0.500 As
0.000 0.500 0.500 Mo
0.500 0.500 0.000 Tl
```

Output
ΔE to the lowest computed polymorph = 2.58 eV/f.u.
total magnetic moment = 0.000 μB per atom
total energy = -20.1 eV for the cell shown



3.
A plane-wave DFT calculation with PBE-GGA was carried out for crystalline TlMo2As at its relaxed geometry.

```
TlMo2As
1.0
-2.572 1.349 -1.253
0.948 -0.875 -2.888
-3.535 -6.099 0.688
Tl Mo As
1 2 1
Direct
0.500 0.500 0.250 Tl
0.000 0.000 0.944 Mo
0.000 0.000 0.556 Mo
0.500 0.500 0.750 As
```

Output
ΔE to the lowest computed polymorph = 0.58 eV/f.u.
total magnetic moment = 0.000 μB per atom
total energy = -27.3 eV for the cell shown